{"formula": "Ti5HN4", "functional": "PBE-GGA", "state": "relaxed", "dft_energy_ev_per_fu": -91.13, "sg": "Immm", "lattice_angstrom": [[-1.4952, 2.1354, 7.4675], [1.4952, -2.1354, 7.4675], [1.4952, 2.1354, -7.4675]], "species": ["Ti", "Ti", "Ti", "Ti", "Ti", "H", "N", "N", "N", "N"], "frac_coords": [[0.0000, 0.0000, 0.0000], [0.1979, 0.1979, 0.0000], [0.3962, 0.3962, 0.0000], [0.6038, 0.6038, 0.0000], [0.8021, 0.8021, 0.0000], [0.5000, 0.0000, 0.5000], [0.0990, 0.5990, 0.5000], [0.3006, 0.8006, 0.5000], [0.6994, 0.1994, 0.5000], [0.9010, 0.4010, 0.5000]]}



{"formula": "TaHI", "functional": "PBE-GGA", "state": "relaxed", "dft_energy_ev_per_fu": -16.87, "sg": "P2_1/m", "lattice_angstrom": [[4.8584, 0.0000, 0.0000], [0.0000, 3.3893, 0.0000], [-1.7419, 0.0000, 7.5017]], "species": ["Ta", "Ta", "H", "H", "I", "I"], "frac_coords": [[0.2429, 0.2500, 0.4888], [0.7571, 0.7500, 0.5112], [0.1519, 0.7500, 0.6275], [0.8481, 0.2500, 0.3725], [0.3197, 0.7500, 0.2064], [0.6803, 0.2500, 0.7936]]}



{"formula": "Li4Mg3Hg4", "functional": "PBE-GGA", "state": "relaxed", "dft_energy_ev_per_fu": -15.99, "e_above_lowest_polymorph_kj_per_mol_atoms": 7.0, "formation_enthalpy_0k_ev_per_atom": -0.21, "sg": "Immm", "lattice_angstrom": [[-2.1085, 3.7957, 7.1369], [2.1085, -3.7957, 7.1369], [2.1085, 3.7957, -7.1369]], "species": ["Li", "Li", "Li", "Li", "Mg", "Mg", "Mg", "Hg", "Hg", "Hg", "Hg"], "frac_coords": [[0.0190, 0.8250, 0.1939], [0.3689, 0.1750, 0.1939], [0.6311, 0.8250, 0.8061], [0.9810, 0.1750, 0.8061], [0.0000, 0.5000, 0.5000], [0.3796, 0.3796, 0.0000], [0.6204, 0.6204, 0.0000], [0.2255, 0.7255, 0.5000], [0.2972, 0.0000, 0.2972], [0.7028, 0.0000, 0.7028], [0.7745, 0.2745, 0.5000]]}



{"formula": "Cr4CoSi", "functional": "PBE-GGA", "state": "relaxed", "dft_energy_ev_per_fu": -49.53, "sg": "F-43m", "raw_formation_energy_mev_per_atom": 248, "lattice_angstrom": [[0.0000, 3.2935, 3.2935], [3.2935, 0.0000, 3.2935], [3.2935, 3.2935, 0.0000]], "species": ["Cr", "Cr", "Cr", "Cr", "Co", "Si"], "frac_coords": [[0.1242, 0.1242, 0.1242], [0.1242, 0.1242, 0.6275], [0.1242, 0.6275, 0.1242], [0.6275, 0.1242, 0.1242], [0.5000, 0.5000, 0.5000], [0.7500, 0.7500, 0.7500]]}



{"formula": "Mg3HgS", "functional": "PBE-GGA", "state": "relaxed", "dft_energy_ev_per_fu": -8.40, "e_above_lowest_polymorph_kj_per_mol_atoms": 40.2, "sg": "Pm-3m", "raw_formation_energy_mev_per_atom": 163, "lattice_angstrom": [[5.1729, 0.0000, 0.0000], [0.0000, 5.1729, 0.0000], [0.0000, 0.0000, 5.1729]], "species": ["Mg", "Mg", "Mg", "Hg", "S"], "frac_coords": [[0.0000, 0.0000, 0.5000], [0.0000, 0.5000, 0.0000], [0.5000, 0.0000, 0.0000], [0.0000, 0.0000, 0.0000], [0.5000, 0.5000, 0.5000]]}



{"formula": "Dy5ErHg4", "functional": "PBE-GGA", "state": "relaxed", "dft_energy_ev_per_fu": -32.46, "formation_enthalpy_0k_ev_per_atom": -0.37, "sg": "P4/mmm", "lattice_angstrom": [[3.6693, 0.0000, 0.0000], [0.0000, 3.6693, 0.0000], [0.0000, 0.0000, 20.0874]], "species": ["Dy", "Dy", "Dy", "Dy", "Dy", "Er", "Hg", "Hg", "Hg", "Hg"], "frac_coords": [[0.0000, 0.0000, 0.0000], [0.0000, 0.0000, 0.1888], [0.0000, 0.0000, 0.3793], [0.0000, 0.0000, 0.6207], [0.0000, 0.0000, 0.8112], [0.5000, 0.5000, 0.5000], [0.5000, 0.5000, 0.0948], [0.5000, 0.5000, 0.2859], [0.5000, 0.5000, 0.7141], [0.5000, 0.5000, 0.9052]]}